Here is a relaxed Rb2CrAsCl crystal from the Alexandria database. Energies are from PBE.

The raw total energy comes out at -16.847 eV per cell. The calculation puts the formation energy without anion corrections at 0.241 eV/atom. The total magnetization is 5.4 Bohr magnetons per cell. As for the symmetry: P4/mmm, No. 123.

```
Rb2CrAsCl
1.0
6.127 0.000 0.000
0.000 5.272 0.000
0.000 0.000 6.127
Cr Rb As Cl
1 2 1 1
Direct
0.500 0.500 0.500
0.000 0.000 0.500
0.500 0.000 0.000
0.000 0.500 0.000
0.000 0.000 0.000
```